1 | A relaxed structure of La8Pr2Y3. Source: Alexandria via LeMat-Bulk, functional PBE.

Cell lengths 20.9774, 7.7682, 5.8531 Å; angles 90.00, 90.02, 90.00 degrees
Closest atoms and distances in Å follow each position.
Space group C2/m (No. 12)
Unique sites:
La  0.1033  0.1997  0.9998 (multiplicity 8)  1 La 3.10, 1 Y 3.18
La  0.1316  0.5000  0.4994 (multiplicity 4)  2 Y 3.52, 2 Pr 3.72, 4 La 3.79
La  0.1725  0.0000  0.5002 (multiplicity 4)  2 Pr 3.44-3.45, 4 La 3.61-3.62
Pr  0.2408  0.5000  0.9995 (multiplicity 4)  8 La 3.44-3.72
Y  0.0000  0.2190  0.5000 (multiplicity 4)  3 Y 3.40-3.65, 6 La 3.52-3.65
Y  0.0000  0.5000  0.0000 (multiplicity 2)  4 La 3.18


2 | A relaxed structure of La8Pr2Y3. Source: Alexandria via LeMat-Bulk, functional PBE.

Cell lengths 13.5772, 12.0003, 6.2833 Å; angles 90.00, 113.67, 90.00 degrees
Closest atoms and distances in Å follow each position.
Space group C2/m (No. 12)
Unique sites:
La  0.0409  0.0000  0.2684 (multiplicity 4)  1 La 3.10, 2 Pr 3.22-3.28, 2 Y 3.46
La  0.1441  0.5000  0.5903 (multiplicity 4)  4 Y 3.43-3.81, 2 Pr 3.53-3.71, 1 La 3.61
La  0.1621  0.2454  0.1481 (multiplicity 8)  1 Pr 3.46, 3 La 3.57-3.85, 3 Y 3.66-3.77
Pr  0.2114  0.0000  0.8012 (multiplicity 4)  5 La 3.22-3.53
Y  0.0000  0.2483  0.5000 (multiplicity 4)  8 La 3.46-3.77
Y  0.0000  0.5000  0.0000 (multiplicity 2)  8 La 3.43-3.81, 2 Pr 3.60


Decreasing stability: 2, 1